{
  "formula": "NbMo3F",
  "functional": "PBE+U",
  "state": "relaxed",
  "total_energy_ev_per_cell": -24.281,
  "e_above_lowest_polymorph_ev_per_atom": 0.661,
  "lattice": [[-0.689, 3.588, -3.654], [-5.119, -0.382, 0.589], [0.139, 3.699, 3.605]],
  "species": ["Mo", "Nb", "Mo", "F", "Mo"],
  "fractional_positions": [[0.500, 0.000, 0.000], [0.000, 0.000, 0.000], [0.000, 0.500, 0.000], [0.500, 0.500, 0.500], [0.000, 0.000, 0.500]]
}